Here is a PBEsol-optimized structure of Zr2Co2Cu from the Alexandria database. Energies are from SCAN.

Cell: 6.5811 6.5811 3.4494 Å, 90.00 90.00 90.00°
Atoms (fractional coordinates):
Zr1 0.1748 0.3252 0.0000
Zr2 0.3252 0.8252 0.0000
Zr3 0.6748 0.1748 0.0000
Zr4 0.8252 0.6748 0.0000
Co1 0.1291 0.6291 0.5000
Co2 0.3709 0.1291 0.5000
Co3 0.6291 0.8709 0.5000
Co4 0.8709 0.3709 0.5000
Cu1 0.0000 0.0000 0.5000
Cu2 0.5000 0.5000 0.5000

Results
Total magnetic moment: 0.32 μB/atom
DFT formation energy: -0.168 eV/atom